Density functional theory data (PBE) for a relaxed BaCr crystal.

```
BaCr
1.0
3.827 0.000 0.000
-1.914 3.314 0.000
0.000 0.000 9.780
Ba Cr
2 2
Direct
0.333 0.667 0.209 Ba
0.667 0.333 0.791 Ba
0.333 0.667 0.538 Cr
0.667 0.333 0.462 Cr
```

## Properties
* calculated total energy: -18.863 eV per cell
* formation enthalpy at 0 K: 1057 meV per atom
* total moment: 0.000 μB/atom
* crystal system: trigonal

Density functional theory data (PBE) for a relaxed BaCr crystal.

```
BaCr
1.0
5.935 0.000 0.000
0.000 4.180 0.000
0.000 0.000 5.942
Ba Cr
2 2
Direct
0.250 0.000 0.247 Ba
0.750 0.000 0.753 Ba
0.250 0.500 0.744 Cr
0.750 0.500 0.256 Cr
```

## Properties
* calculated total energy: -19.618 eV per cell
* formation enthalpy at 0 K: 869 meV per atom
* total moment: 2.351 μB/atom
* crystal system: orthorhombic

Density functional theory data (PBE) for a relaxed Ba3Cr crystal.

```
Ba3Cr
1.0
5.737 0.000 0.000
0.000 5.737 0.000
0.000 0.000 11.493
Ba Cr
6 2
Direct
0.000 0.000 0.000 Ba
0.000 0.500 0.250 Ba
0.000 0.500 0.750 Ba
0.500 0.000 0.250 Ba
0.500 0.000 0.750 Ba
0.500 0.500 0.500 Ba
0.000 0.000 0.500 Cr
0.500 0.500 0.000 Cr
```

## Properties
* calculated total energy: -26.406 eV per cell
* formation enthalpy at 0 K: 547 meV per atom
* total moment: 1.023 μB/atom
* crystal system: tetragonal

Density functional theory data (PBE) for a relaxed BaCr2 crystal.

```
BaCr2
1.0
3.177 0.000 0.000
0.000 3.177 0.000
0.000 0.000 12.453
Ba Cr
2 4
Direct
0.000 0.000 0.000 Ba
0.500 0.500 0.500 Ba
0.000 0.000 0.277 Cr
0.000 0.000 0.723 Cr
0.500 0.500 0.223 Cr
0.500 0.500 0.777 Cr
```

## Properties
* calculated total energy: -36.658 eV per cell
* formation enthalpy at 0 K: 947 meV per atom
* total moment: 0.000 μB/atom
* crystal system: tetragonal

Density functional theory data (PBE) for a relaxed CsBaCr3 crystal.

```
CsBaCr3
1.0
5.482 0.000 0.000
0.000 5.482 0.000
0.000 0.000 5.482
Cs Ba Cr
1 1 3
Direct
0.000 0.000 0.000 Cs
0.500 0.500 0.500 Ba
0.000 0.500 0.500 Cr
0.500 0.000 0.500 Cr
0.500 0.500 0.000 Cr
```

## Properties
* calculated total energy: -20.803 eV per cell
* formation enthalpy at 0 K: 2169 meV per atom
* total moment: 2.660 μB/atom
* crystal system: cubic

Density functional theory data (PBE) for a relaxed CsBa2Cr crystal.

```
CsBa2Cr
1.0
9.160 0.000 0.000
0.000 9.160 0.000
0.000 0.000 9.160
Cs Ba Cr
4 8 4
Direct
0.000 0.000 0.000 Cs
0.000 0.500 0.500 Cs
0.500 0.000 0.500 Cs
0.500 0.500 0.000 Cs
0.250 0.250 0.250 Ba
0.250 0.250 0.750 Ba
0.250 0.750 0.250 Ba
0.250 0.750 0.750 Ba
0.750 0.250 0.250 Ba
0.750 0.250 0.750 Ba
0.750 0.750 0.250 Ba
0.750 0.750 0.750 Ba
0.000 0.000 0.500 Cr
0.000 0.500 0.000 Cr
0.500 0.000 0.000 Cr
0.500 0.500 0.500 Cr
```

## Properties
* calculated total energy: -47.231 eV per cell
* formation enthalpy at 0 K: 629 meV per atom
* total moment: 1.330 μB/atom
* crystal system: cubic

Density functional theory data (PBE) for a relaxed CsBaCr3 crystal.

```
CsBaCr3
1.0
6.159 0.000 0.000
0.000 6.159 0.000
0.000 0.000 6.159
Cs Ba Cr
1 1 3
Direct
0.000 0.000 0.000 Cs
0.500 0.500 0.500 Ba
0.000 0.000 0.500 Cr
0.000 0.500 0.000 Cr
0.500 0.000 0.000 Cr
```

## Properties
* calculated total energy: -22.088 eV per cell
* formation enthalpy at 0 K: 1912 meV per atom
* total moment: 3.132 μB/atom
* crystal system: cubic

Density functional theory data (PBE) for a relaxed Cs2BaCr crystal.

```
Cs2BaCr
1.0
9.951 0.000 0.000
0.000 9.951 0.000
0.000 0.000 9.951
Cs Ba Cr
8 4 4
Direct
0.250 0.250 0.250 Cs
0.250 0.250 0.750 Cs
0.250 0.750 0.250 Cs
0.250 0.750 0.750 Cs
0.750 0.250 0.250 Cs
0.750 0.250 0.750 Cs
0.750 0.750 0.250 Cs
0.750 0.750 0.750 Cs
0.000 0.000 0.000 Ba
0.000 0.500 0.500 Ba
0.500 0.000 0.500 Ba
0.500 0.500 0.000 Ba
0.000 0.000 0.500 Cr
0.000 0.500 0.000 Cr
0.500 0.000 0.000 Cr
0.500 0.500 0.500 Cr
```

## Properties
* calculated total energy: -39.339 eV per cell
* formation enthalpy at 0 K: 855 meV per atom
* total moment: 1.155 μB/atom
* crystal system: cubic